No. 1
This record from Alexandria via LeMat-Bulk describes a geometry-optimized Zr2CrAg structure. The functional is GGA-PBEsol.

Computed properties:
The formation energy comes out at 227 meV per atom. Its excess energy over the best structure of this formula in the dataset is 0 kJ/mol of formula units.

Cell lengths 10.846, 3.150, 4.732 Å; angles 90.00, 115.71, 90.00 degrees
Space group Cm (No. 8)
One atom of each set of equivalent atoms:
Zr1 0.000 0.000 0.000 [2 per cell]
Zr2 0.221 0.000 0.720 [2 per cell]
Cr1 0.493 0.000 0.493 [2 per cell]
Ag1 0.268 0.500 0.267 [2 per cell]

No. 2
This record from Alexandria via LeMat-Bulk describes a geometry-optimized BaZrNi2 structure. The functional is GGA-PBEsol.

Computed properties:
The formation energy comes out at -92 meV per atom.

Cell lengths 3.333, 3.333, 7.265 Å; angles 90.00, 90.00, 90.00 degrees
Space group P4/mmm (No. 123)
One atom of each set of equivalent atoms:
Ba1 0.000 0.000 0.000 [1 per cell]
Zr1 0.000 0.000 0.500 [1 per cell]
Ni1 0.500 0.500 0.327 [2 per cell]

No. 3
This record from Alexandria via LeMat-Bulk describes a geometry-optimized TcIrSeN2 structure. The functional is GGA-PBEsol.

Computed properties:
For the formation energy without anion corrections, the calculation gives 2.087 eV/atom. Its excess energy over the best structure of this formula in the dataset is 428 kJ/mol of formula units.

Cell lengths 3.775, 3.775, 4.762 Å; angles 90.00, 90.00, 90.00 degrees
Space group P4/mmm (No. 123)
One atom of each set of equivalent atoms:
Tc1 0.000 0.000 0.000 [1 per cell]
Ir1 0.500 0.500 0.000 [1 per cell]
Se1 0.500 0.500 0.500 [1 per cell]
N1 0.000 0.500 0.500 [2 per cell]

No. 4
This record from Alexandria via LeMat-Bulk describes a geometry-optimized ZrCdIn2 structure. The functional is GGA-PBEsol.

Computed properties:
The formation energy comes out at 138 meV per atom.

Cell lengths 7.079, 7.079, 7.079 Å; angles 90.00, 90.00, 90.00 degrees
Space group F-43m (No. 216)
One atom of each set of equivalent atoms:
Zr1 0.000 0.000 0.000 [4 per cell]
Cd1 0.250 0.250 0.250 [4 per cell]
In1 0.000 0.000 0.500 [4 per cell]
In2 0.250 0.250 0.750 [4 per cell]

Number 1: total magnetic moment 3.6 μB per cell, raw total energy -7.71 eV/atom. Number 2: total magnetic moment 0.0 μB per cell, raw total energy -5.98 eV/atom. Number 3: total magnetic moment 2.2 μB per cell, raw total energy -6.31 eV/atom. Number 4: total magnetic moment 0.0 μB per cell, raw total energy -3.92 eV/atom.